An optimized crystal structure of Na4Si5Sn2O17, computed with GGA-PBEsol.

## Properties
Electronic total energy = -388.1 eV/cell
Space-group type = C2, No. 5
M_tot = 4.11 μB per cell
Formation energy from raw total energies = -2.2123 eV per atom

Lattice parameters (Å, degrees): 5.241 10.763 13.849 110.08 90.00 104.09
Each line ends with the local moment (μB).
Fractional positions:
Na: 0.799 0.568 0.090  0.00
Na: 0.231 0.432 0.910  0.00
Na: 0.210 0.439 0.418  0.00
Na: 0.771 0.561 0.582  0.00
Na: 0.781 0.067 0.174  0.00
Na: 0.714 0.933 0.826  0.00
Na: 0.203 0.932 0.322  0.00
Na: 0.271 0.068 0.678  0.00
Si: 0.383 0.768 0.054  0.00
Si: 0.615 0.232 0.946  0.00
Si: 0.613 0.232 0.447  0.00
Si: 0.380 0.768 0.553  0.00
Si: 0.250 0.000 0.000  0.00
Si: 0.742 0.000 0.500  0.00
Si: 0.347 0.658 0.231  0.00
Si: 0.688 0.342 0.769  0.00
Si: 0.663 0.343 0.274  0.00
Si: 0.320 0.657 0.726  0.00
Sn: 0.847 0.681 0.885  0.00
Sn: 0.166 0.319 0.115  0.00
Sn: 0.159 0.315 0.608  0.00
Sn: 0.844 0.685 0.392  0.00
O: 0.595 0.221 0.824  0.08
O: 0.374 0.779 0.176  0.08
O: 0.427 0.779 0.675  0.00
O: 0.648 0.221 0.325  0.00
O: 0.128 0.658 0.980  0.02
O: 0.469 0.342 0.020  0.02
O: 0.867 0.342 0.522  0.00
O: 0.526 0.658 0.478  0.00
O: 0.934 0.283 0.979  0.27
O: 0.651 0.717 0.021  0.27
O: 0.062 0.727 0.529  0.00
O: 0.335 0.273 0.471  0.00
O: 0.021 0.885 0.917  0.01
O: 0.137 0.115 0.083  0.01
O: 0.972 0.114 0.583  0.01
O: 0.858 0.886 0.417  0.01
O: 0.407 0.926 0.060  0.01
O: 0.481 0.074 0.940  0.01
O: 0.587 0.073 0.439  0.00
O: 0.515 0.927 0.561  0.00
O: 0.174 0.519 0.142  0.01
O: 0.655 0.481 0.858  0.01
O: 0.834 0.484 0.362  0.00
O: 0.351 0.516 0.638  0.00
O: 0.805 0.285 0.170  0.01
O: 0.520 0.715 0.830  0.01
O: 0.199 0.721 0.331  0.01
O: 0.478 0.279 0.669  0.01
O: 0.996 0.361 0.746  0.02
O: 0.635 0.639 0.254  0.02
O: 0.011 0.644 0.749  0.00
O: 0.367 0.356 0.251  0.00
O: 0.008 0.141 0.835  1.24
O: 0.867 0.859 0.165  1.24